No. 1
The following is a PBE calculation of a relaxed In2HgTeSe3 crystal, from OQMD via LeMat-Bulk.

Calculated values
energy = -3.187 eV/atom

Cell: 6.0920 6.1310 7.2824 Å, 113.26 113.46 91.36°
Closest atoms and distances in Å follow each position.
Fractional positions:
1 Se 0.5973 0.6227 0.7251  2 In 2.64, 1 Hg 2.74
2 Te 0.3652 0.8571 0.2873  2 In 2.83, 1 Hg 2.84
3 Hg 0.9964 0.0016 0.9989  3 Se 2.73-2.74, 1 Te 2.84
4 Se 0.1338 0.1095 0.7255  2 In 2.64-2.65, 1 Hg 2.73
5 In 0.5020 0.4915 0.9947  3 Se 2.64, 1 Te 2.83
6 In 0.7598 0.2619 0.5059  3 Se 2.64-2.65, 1 Te 2.83
7 Se 0.8955 0.4058 0.2626  2 In 2.64, 1 Hg 2.73


No. 2
The following is a PBE calculation of a relaxed Zr2Pd crystal, from OQMD via LeMat-Bulk.

Calculated values
M_tot = 0.0 μB per formula unit
energy of formation = -0.94 eV/f.u.

Cell: 14.8321 8.0884 4.8332 Å, 90.00 90.00 58.76°
Closest atoms and distances in Å follow each position.
Fractional positions:
1 Zr 0.1612 0.2929 0.0000  3 Pd 2.90-2.98, 5 Zr 2.98-3.24
2 Zr 0.6056 0.3128 0.5000  4 Pd 2.71-2.81
3 Pd 0.7018 0.2323 0.0000  2 Pd 2.64-2.75, 4 Zr 2.71-2.83
4 Zr 0.0110 0.4911 0.5000  1 Pd 2.91, 8 Zr 2.96-3.26
5 Zr 0.1730 0.6232 0.5000  4 Pd 2.63-2.93
6 Zr 0.0332 0.0683 0.5000  3 Pd 2.90-2.98, 5 Zr 2.98-3.24
7 Pd 0.8102 0.8348 0.0000  5 Zr 2.73-2.81, 3 Pd 2.75-2.95
8 Pd 0.8961 0.9124 0.5000  6 Zr 2.90-3.03, 4 Pd 2.95-2.97
9 Zr 0.6676 0.6112 0.0000  1 Pd 2.83, 6 Zr 3.00-3.15
10 Zr 0.8008 0.3460 0.5000  5 Pd 2.94-3.20, 7 Zr 2.98-3.24
11 Pd 0.3842 0.5262 0.5000  5 Zr 2.73-2.81, 3 Pd 2.75-2.95
12 Pd 0.2905 0.2437 0.5000  4 Zr 2.63-2.94, 1 Pd 2.64
13 Pd 0.4926 0.1286 0.5000  2 Pd 2.64-2.75, 4 Zr 2.71-2.83
14 Zr 0.4547 0.5803 0.0000  3 Pd 2.76-3.01
15 Zr 0.1834 0.8701 0.0000  1 Pd 2.91, 8 Zr 2.96-3.26
16 Zr 0.0214 0.7380 0.0000  4 Pd 2.63-2.93
17 Zr 0.2824 0.9202 0.5000  2 Pd 2.68-2.73, 2 Zr 2.96
18 Pd 0.9039 0.1175 0.0000  4 Zr 2.63-2.94, 1 Pd 2.64
19 Zr 0.5888 0.0481 0.0000  4 Pd 2.71-2.81
20 Zr 0.9121 0.4408 0.0000  2 Pd 2.68-2.73, 2 Zr 2.96
21 Zr 0.3936 0.0151 0.0000  5 Pd 2.94-3.20, 7 Zr 2.98-3.23
22 Zr 0.5269 0.7497 0.5000  1 Pd 2.83, 6 Zr 3.00-3.15
23 Pd 0.2984 0.4489 0.0000  6 Zr 2.90-3.03, 4 Pd 2.95-2.97
24 Zr 0.7398 0.7807 0.5000  3 Pd 2.76-3.01


No. 3
The following is a PBE calculation of a relaxed Si3Ni2As2 crystal, from OQMD via LeMat-Bulk.

Calculated values
energy = -5.229 eV/atom
M_tot = 0.0 μB per formula unit

Cell: 8.1364 8.1364 8.1364 Å, 28.10 28.10 28.10°
Closest atoms and distances in Å follow each position.
Fractional positions:
1 As 0.4767 0.4767 0.4767  3 Ni 2.41
2 Ni 0.2457 0.2457 0.2457  7 Si 2.19-2.43
3 Ni 0.7770 0.7770 0.7770  1 Si 2.34, 6 As 2.41-2.60
4 Si 0.6027 0.6027 0.6027  3 Ni 2.35
5 Si 0.3393 0.3393 0.3393  1 Ni 2.19
6 Si 0.8767 0.8767 0.8767  4 Ni 2.34-2.43
7 As 0.0570 0.0570 0.0570  3 Si 2.58, 3 Ni 2.60


No. 4
The following is a PBE calculation of a relaxed LuTlSnS3 crystal, from OQMD via LeMat-Bulk.

Calculated values
energy = -4.925 eV/atom
M_tot = 0.0 μB per formula unit

Cell: 8.7167 8.7167 10.6541 Å, 90.00 90.00 154.06°
Closest atoms and distances in Å follow each position.
Fractional positions:
1 Tl 0.3055 0.6945 0.7500  2 S 2.93
2 Sn 0.3702 0.6298 0.2500  4 S 2.64-2.83
3 S 0.3929 0.6071 0.9872  2 Lu 2.68, 1 Sn 2.83, 1 Tl 2.93
4 S 0.6071 0.3929 0.4872  2 Lu 2.68, 1 Sn 2.83, 1 Tl 2.93
5 Tl 0.6945 0.3055 0.2500  2 S 2.93
6 S 0.9745 0.0255 0.2500  2 Sn 2.64, 2 Lu 2.70
7 Lu 0.0000 0.0000 0.5000  6 S 2.68-2.70
8 S 0.0255 0.9745 0.7500  2 Sn 2.64, 2 Lu 2.70
9 Sn 0.6298 0.3702 0.7500  4 S 2.64-2.83
10 S 0.3929 0.6071 0.5128  2 Lu 2.68, 1 Sn 2.83, 1 Tl 2.93
11 S 0.6071 0.3929 0.0128  2 Lu 2.68, 1 Sn 2.83, 1 Tl 2.93
12 Lu 0.0000 0.0000 0.0000  6 S 2.68-2.70


No. 5
The following is a PBE calculation of a relaxed CdTcBi crystal, from OQMD via LeMat-Bulk.

Calculated values
energy = -4.533 eV/atom
M_tot = 0.0 μB per formula unit

Cell: 4.6268 4.6268 4.6268 Å, 60.00 60.00 60.00°
Closest atoms and distances in Å follow each position.
Fractional positions:
1 Tc 0.0000 0.0000 0.0000  4 Bi 2.83, 4 Cd 2.83
2 Bi 0.2500 0.2500 0.2500  4 Tc 2.83
3 Cd 0.7500 0.7500 0.7500  4 Tc 2.83


No. 6
The following is a PBE calculation of a relaxed InCuNiTeS2 crystal, from OQMD via LeMat-Bulk.

Calculated values
energy = -4.058 eV/atom
M_tot = 0.0 μB per formula unit

Cell: 7.2101 7.2101 10.2091 Å, 90.00 90.00 152.57°
Closest atoms and distances in Å follow each position.
Fractional positions:
1 S 0.8929 0.1071 0.5283  1 Cu 2.27, 2 Ni 2.29
2 In 0.2325 0.7675 0.7500  2 Cu 2.72
3 S 0.1071 0.8929 0.0283  1 Cu 2.27, 2 Ni 2.29
4 Ni 0.5000 0.5000 0.0000  4 S 2.29
5 Te 0.4522 0.5478 0.2500  2 Ni 2.64, 2 Cu 2.86
6 Ni 0.5000 0.5000 0.5000  4 S 2.29
7 Cu 0.1162 0.8838 0.2500  2 S 2.27
8 In 0.7675 0.2325 0.2500  2 Cu 2.72
9 Cu 0.8838 0.1162 0.7500  2 S 2.27
10 Te 0.5478 0.4522 0.7500  2 Ni 2.64, 2 Cu 2.86
11 S 0.8929 0.1071 0.9717  1 Cu 2.27, 2 Ni 2.29
12 S 0.1071 0.8929 0.4717  1 Cu 2.27, 2 Ni 2.29